Record 1
DFT (GGA-PBE) results for a relaxed structure of FeCuSe2.

Computed properties:
N(E_F) in states/eV/f.u.: 2.80
SG: No. 166
E_form (uncorrected) in kJ per mole of atoms: -5

Cell lengths 3.521, 3.521, 6.596 Å; angles 74.52, 74.52, 59.91 degrees
Site moments in Bohr magnetons follow the coordinates.
Atoms (fractional coordinates):
Cu1 0.750 0.750 0.750  -0.07
Se1 0.502 0.502 0.494  0.01
Se2 0.998 0.998 0.006  0.01
Fe1 0.250 0.250 0.250  2.74

=====

Record 2
DFT (GGA-PBE) results for a relaxed structure of SrCd4S5.

Computed properties:
SG: No. 166
E_form (uncorrected) in kJ per mole of atoms: -78

Cell lengths 16.197, 16.197, 16.197 Å; angles 14.12, 14.12, 14.12 degrees
Atoms (fractional coordinates):
S1 0.500 0.500 0.500
S2 0.898 0.898 0.898
Cd1 0.801 0.801 0.801
S3 0.295 0.295 0.295
Sr1 0.000 0.000 0.000
Cd2 0.403 0.403 0.403
S4 0.102 0.102 0.102
Cd3 0.597 0.597 0.597
Cd4 0.199 0.199 0.199
S5 0.705 0.705 0.705

=====

Record 3
DFT (GGA-PBE) results for a relaxed structure of Ba3LiPt8.

Computed properties:
N(E_F) in states/eV/f.u.: 5.14
Energy of formation from the pure elements in eV per atom: -0.67
SG: No. 160

Cell lengths 5.629, 5.629, 9.683 Å; angles 73.10, 73.10, 60.00 degrees
Atoms (fractional coordinates):
Ba1 0.377 0.377 0.870
Pt1 0.443 0.940 0.678
Ba2 0.504 0.504 0.488
Pt2 0.940 0.443 0.678
Pt3 0.189 0.189 0.433
Li1 0.866 0.866 0.403
Pt4 0.937 0.436 0.190
Ba3 0.995 0.995 0.016
Pt5 0.940 0.940 0.678
Pt6 0.436 0.937 0.190
Pt7 0.436 0.436 0.190
Pt8 0.688 0.688 0.935

=====

Record 4
DFT (GGA-PBE) results for a relaxed structure of IrOsAu2.

Computed properties:
N(E_F) in states/eV/f.u.: 4.74
Distance to the lowest polymorph of the same formula in meV per atom: 447
Energy of formation from the pure elements in eV per atom: 0.68
SG: No. 123

Cell lengths 2.847, 2.847, 7.898 Å; angles 90.00, 90.00, 90.00 degrees
Atoms (fractional coordinates):
Os1 0.500 0.500 0.750
Au1 0.000 0.000 0.998
Ir1 0.500 0.500 0.250
Au2 0.000 0.000 0.502

=====

Record 5
DFT (GGA-PBE) results for a relaxed structure of Ge3PtPb.

Computed properties:
N(E_F) in states/eV/f.u.: 1.67
Distance to the lowest polymorph of the same formula in meV per atom: 0
Energy of formation from the pure elements in eV per atom: 0.24
SG: No. 221

Cell lengths 4.968, 4.968, 4.968 Å; angles 90.00, 90.00, 90.00 degrees
Atoms (fractional coordinates):
Pb1 0.500 0.500 0.500
Pt1 0.000 0.000 0.000
Ge1 0.000 0.000 0.500
Ge2 0.500 0.000 0.000
Ge3 0.000 0.500 0.000

=====

Record 6
DFT (GGA-PBE) results for a relaxed structure of Dy4PbS3.

Computed properties:
N(E_F) in states/eV/f.u.: 3.81
SG: No. 47
E_form (uncorrected) in kJ per mole of atoms: -149

Cell lengths 3.982, 5.769, 8.243 Å; angles 90.00, 90.00, 90.00 degrees
Atoms (fractional coordinates):
Pb1 0.000 0.000 0.000
Dy1 0.000 0.500 0.000
Dy2 0.500 0.000 0.273
S1 0.500 0.500 0.257
Dy3 0.500 0.000 0.727
S2 0.000 0.000 0.500
Dy4 0.000 0.500 0.500
S3 0.500 0.500 0.743

=====

Record 7
DFT (GGA-PBE) results for a relaxed structure of ThTlRu2.

Computed properties:
N(E_F) in states/eV/f.u.: 2.92
Energy of formation from the pure elements in eV per atom: -0.13
SG: No. 123

Cell lengths 3.707, 4.602, 4.602 Å; angles 90.00, 90.00, 90.00 degrees
Atoms (fractional coordinates):
Th1 0.500 0.000 0.000
Tl1 0.500 0.500 0.500
Ru1 0.000 0.000 0.500
Ru2 0.000 0.500 0.000

=====

Record 8
DFT (GGA-PBE) results for a relaxed structure of CdTeAsO6.

Computed properties:
N(E_F) in states/eV/f.u.: 3.12
SG: No. 163
E_form (uncorrected) in kJ per mole of atoms: -100

Cell lengths 5.246, 5.246, 9.837 Å; angles 90.00, 90.00, 120.00 degrees
Atoms (fractional coordinates):
O1 0.384 0.025 0.141
O2 0.358 0.975 0.641
O3 0.025 0.642 0.859
O4 0.025 0.384 0.641
Cd1 0.000 0.000 0.500
Cd2 0.000 0.000 0.000
O5 0.616 0.642 0.641
O6 0.975 0.616 0.359
Te1 0.333 0.667 0.250
O7 0.642 0.616 0.141
O8 0.975 0.358 0.141
Te2 0.667 0.333 0.750
O9 0.642 0.025 0.359
O10 0.616 0.975 0.859
O11 0.358 0.384 0.859
As1 0.333 0.667 0.750
As2 0.667 0.333 0.250
O12 0.384 0.358 0.359

=====

Record 9
DFT (GGA-PBE) results for a relaxed structure of CaTaNi2H.

Computed properties:
Raw total energy in eV per atom: -4.33
N(E_F) in states/eV/f.u.: 6.25
SG: No. 123

Cell lengths 4.486, 6.192, 4.486 Å; angles 90.00, 90.00, 90.00 degrees
Site moments in Bohr magnetons follow the coordinates.
Atoms (fractional coordinates):
Ta1 0.000 0.000 0.000  0.34
H1 0.500 0.500 0.500  0.01
Ni1 0.500 0.000 0.000  0.03
Ca1 0.000 0.500 0.000  0.05
Ni2 0.000 0.000 0.500  0.06

=====

Record 10
DFT (GGA-PBE) results for a relaxed structure of KCaRu.

Computed properties:
N(E_F) in states/eV/f.u.: 2.76
Distance to the lowest polymorph of the same formula in meV per atom: 175
Energy of formation from the pure elements in eV per atom: 0.89
SG: No. 156

Cell lengths 5.325, 5.325, 2.938 Å; angles 90.00, 90.00, 120.00 degrees
Site moments in Bohr magnetons follow the coordinates.
Atoms (fractional coordinates):
K1 0.667 0.333 0.254  0.00
Ru1 0.333 0.667 0.650  0.21
Ca1 0.000 0.000 0.095  -0.01

=====

Record 11
DFT (GGA-PBE) results for a relaxed structure of CsRbCd2Sb2.

Computed properties:
N(E_F) in states/eV/f.u.: 0.46
SG: No. 164
E_form (uncorrected) in kJ per mole of atoms: -39

Cell lengths 4.910, 4.910, 11.612 Å; angles 90.00, 90.00, 120.00 degrees
Atoms (fractional coordinates):
Sb1 0.333 0.667 0.258
Rb1 0.000 0.000 0.500
Cs1 0.000 0.000 0.000
Cd1 0.333 0.667 0.738
Sb2 0.667 0.333 0.742
Cd2 0.667 0.333 0.262

=====

Record 12
DFT (GGA-PBE) results for a relaxed structure of LaPmTm3.

Computed properties:
N(E_F) in states/eV/f.u.: 7.64
Distance to the lowest polymorph of the same formula in meV per atom: 122
Energy of formation from the pure elements in eV per atom: 0.18
SG: No. 65

Cell lengths 6.187, 6.187, 11.209 Å; angles 90.00, 90.00, 130.21 degrees
Atoms (fractional coordinates):
Tm1 0.347 0.653 0.803
Tm2 0.000 0.000 0.671
Pm1 0.135 0.865 0.000
Tm3 0.000 0.000 0.329
Tm4 0.347 0.653 0.197
Tm5 0.653 0.347 0.197
La1 0.652 0.348 0.500
La2 0.348 0.652 0.500
Tm6 0.653 0.347 0.803
Pm2 0.865 0.135 0.000